(1)
This record from Alexandria describes a relaxed TiAlH2Br crystal. The functional is PBE-GGA.

## Properties
symmetry: No. 123

Cell: 3.638 3.638 6.386 Å, 90.00 90.00 90.00°
Fractional coordinates of all 5 atoms:
Ti: 0.000 0.000 0.000
Al: 0.500 0.500 0.500
H: 0.000 0.500 0.500
H: 0.500 0.000 0.500
Br: 0.500 0.500 0.000



(2)
This record from Alexandria describes a relaxed RbLa3Si crystal. The functional is PBE-GGA.

## Properties
formation energy (no corrections): 1.198 eV/atom
symmetry: No. 221
energy above the most stable polymorph in this dataset: 1099 meV/atom

Cell: 5.539 5.539 5.539 Å, 90.00 90.00 90.00°
Fractional coordinates of all 5 atoms:
Rb: 0.000 0.000 0.000
La: 0.000 0.000 0.500
La: 0.000 0.500 0.000
La: 0.500 0.000 0.000
Si: 0.500 0.500 0.500



(3)
This record from Alexandria describes a relaxed NdYInCo crystal. The functional is PBE-GGA.

## Properties
DFT formation energy: -0.1552 eV/atom
symmetry: No. 216

Cell: 5.186 5.186 5.186 Å, 60.00 60.00 60.00°
Fractional coordinates of all 4 atoms:
Nd: 0.000 0.000 0.000
Y: 0.500 0.500 0.500
In: 0.750 0.750 0.750
Co: 0.250 0.250 0.250



Per-record electronic total energy, eV per atom: -3.623, -3.037, -5.424